(1)
Compound: Dy3Zn2In2
Source: Alexandria
Functional: PBE
Structure: relaxed Values from VASP.

uncorrected energy = -24.8 eV/cell
formation energy from the elements = -0.43 eV/atom
magnetization = 0.00 μB/atom

Cell and atoms, written as Quantum ESPRESSO input:
```
&SYSTEM
  ibrav = 0, nat = 7, ntyp = 3
/
ATOMIC_SPECIES
Dy 162.50 Dy.upf
In 114.82 In.upf
Zn 65.41 Zn.upf
CELL_PARAMETERS angstrom
4.3460 0.0000 0.5768
0.0000 3.5552 0.0000
0.7688 0.0000 10.8690
ATOMIC_POSITIONS crystal
Dy 0.8349 0.0000 0.3301
Dy 0.1651 0.0000 0.6699
In 0.4181 0.5000 0.1637
Zn 0.7187 0.5000 0.5626
Dy 0.0000 0.0000 0.0000
Zn 0.2813 0.5000 0.4374
In 0.5819 0.5000 0.8363
```

---

(2)
Compound: KScMo
Source: Alexandria
Functional: PBE
Structure: relaxed Values from VASP.

uncorrected energy = -15.4 eV/cell
formation energy from the elements = 0.94 eV/atom
magnetization = 0.00 μB/atom
distance to the lowest polymorph of the same formula = 152 meV/atom

Cell and atoms, written as Quantum ESPRESSO input:
```
&SYSTEM
  ibrav = 0, nat = 3, ntyp = 3
/
ATOMIC_SPECIES
K 39.10 K.upf
Sc 44.96 Sc.upf
Mo 95.94 Mo.upf
CELL_PARAMETERS angstrom
7.0410 0.0603 -0.0163
5.0218 4.9357 0.0163
-5.6199 -3.4916 2.4094
ATOMIC_POSITIONS crystal
K 0.0061 0.0061 0.0000
Sc 0.2821 0.2821 0.0000
Mo 0.7119 0.7119 0.0000
```

---

(3)
Compound: YAl4Pt6
Source: Alexandria
Functional: PBE
Structure: relaxed Values from VASP.

uncorrected energy = -66.1 eV/cell
formation energy from the elements = -0.76 eV/atom
magnetization = 0.00 μB/atom

Cell and atoms, written as Quantum ESPRESSO input:
```
&SYSTEM
  ibrav = 0, nat = 11, ntyp = 3
/
ATOMIC_SPECIES
Pt 195.08 Pt.upf
Al 26.98 Al.upf
Y 88.91 Y.upf
CELL_PARAMETERS angstrom
-1.9478 -4.2810 -5.9066
3.3727 -0.8711 6.6989
-3.2646 2.8797 6.1691
ATOMIC_POSITIONS crystal
Pt 0.5000 0.5000 0.0000
Al 0.3773 0.8246 0.8246
Pt 0.0000 0.4080 0.9429
Al 0.0000 0.1754 0.5527
Al 0.0000 0.5527 0.1754
Al 0.6227 0.4473 0.4473
Y 0.0000 0.0000 0.0000
Pt 0.5000 0.0000 0.5000
Pt 0.5348 0.5920 0.5920
Pt 0.4652 0.0571 0.0571
Pt 0.0000 0.9429 0.4080
```

---

(4)
Compound: Er6MnSb2
Source: Alexandria
Functional: PBE
Structure: relaxed Values from VASP.

uncorrected energy = -49.5 eV/cell
formation energy (no corrections) = -0.522 eV per atom
magnetization = 0.00 μB/atom

Cell and atoms, written as Quantum ESPRESSO input:
```
&SYSTEM
  ibrav = 0, nat = 9, ntyp = 3
/
ATOMIC_SPECIES
Er 167.26 Er.upf
Mn 54.94 Mn.upf
Sb 121.76 Sb.upf
CELL_PARAMETERS angstrom
4.1751 0.0000 0.0000
0.0000 8.0935 0.0000
0.0000 -4.0468 7.0092
ATOMIC_POSITIONS crystal
Er 0.5000 0.0000 0.6058
Er 0.0000 0.7668 0.7668
Mn 0.5000 0.0000 0.0000
Sb 0.0000 0.3333 0.6667
Er 0.5000 0.6058 0.0000
Er 0.0000 0.2332 0.0000
Er 0.0000 0.0000 0.2332
Er 0.5000 0.3942 0.3942
Sb 0.0000 0.6667 0.3333
```